A plane-wave DFT calculation with PBE+U was carried out for MnCrHO2 after structural relaxation.

a = 3.121 Å, b = 3.121 Å, c = 7.374 Å
α = 102.18°, β = 102.18°, γ = 59.98°
Atoms (fractional coordinates):
Mn 0.000 0.000 0.000
Cr 0.210 0.210 0.636
H 0.429 0.429 0.289
O 0.382 0.382 0.147
O 0.504 0.504 0.517

Summary:
M_tot   8.0 μB/cell
Offset from the most stable computed form   198 meV/atom